(1)
Here is a relaxed SmTi2Si4 crystal from the Alexandria database. Energies are from GGA-PBE.

Results
energy relative to the elements, uncorrected: -0.601 eV per atom
VASP energy: -92.81 eV per cell
total moment: 0.0 μB/cell
volume: 17.031 Å³ per atom

Lattice parameters (Å, degrees): 3.802 3.825 16.394 90.00 90.00 90.00
Space group Immm (No. 71)
Symmetry-distinct sites (fractional):
Sm 0.000 0.000 0.000 [2 per cell]
Ti 0.000 0.500 0.315 [4 per cell]
Si 0.000 0.000 0.426 [4 per cell]
Si 0.000 0.500 0.161 [4 per cell]

=====

(2)
Here is a relaxed Sm4TlSi crystal from the Alexandria database. Energies are from GGA-PBE.

Results
energy relative to the elements, uncorrected: -0.374 eV per atom
VASP energy: -57.82 eV per cell
total moment: 0.0 μB/cell
volume: 28.980 Å³ per atom

Lattice parameters (Å, degrees): 5.946 6.805 8.685 90.00 98.30 90.00
Space group P2_1/m (No. 11)
Symmetry-distinct sites (fractional):
Sm 0.147 0.011 0.253 [4 per cell]
Sm 0.335 0.250 0.643 [2 per cell]
Sm 0.351 0.750 0.950 [2 per cell]
Tl 0.269 0.750 0.579 [2 per cell]
Si 0.157 0.250 0.960 [2 per cell]

=====

(3)
Here is a relaxed Sm5Tl2Si2 crystal from the Alexandria database. Energies are from GGA-PBE.

Results
energy relative to the elements, uncorrected: -0.533 eV per atom
VASP energy: -175.89 eV per cell
total moment: 0.0 μB/cell
volume: 27.534 Å³ per atom

Lattice parameters (Å, degrees): 16.210 7.796 7.844 90.00 90.00 90.00
Space group Cmce (No. 64)
Symmetry-distinct sites (fractional):
Sm 0.000 0.000 0.000 [4 per cell]
Sm 0.124 0.186 0.320 [16 per cell]
Tl 0.222 0.000 0.000 [8 per cell]
Si 0.000 0.113 0.617 [8 per cell]

=====

(4)
Here is a relaxed Sm12TlSi6 crystal from the Alexandria database. Energies are from GGA-PBE.

Results
energy relative to the elements, uncorrected: -0.535 eV per atom
VASP energy: -203.39 eV per cell
total moment: 0.0 μB/cell
volume: 27.659 Å³ per atom

Lattice parameters (Å, degrees): 10.167 10.167 10.167 90.00 90.00 90.00
Space group Im-3 (No. 204)
Symmetry-distinct sites (fractional):
Sm 0.000 0.188 0.298 [24 per cell]
Tl 0.000 0.000 0.000 [2 per cell]
Si 0.000 0.385 0.500 [12 per cell]

=====

(5)
Here is a relaxed Sm6TlSi2 crystal from the Alexandria database. Energies are from GGA-PBE.

Results
energy relative to the elements, uncorrected: -0.478 eV per atom
VASP energy: -183.32 eV per cell
total moment: 0.0 μB/cell
volume: 28.314 Å³ per atom

Lattice parameters (Å, degrees): 9.720 9.983 10.505 90.00 90.00 90.00
Space group Immm (No. 71)
Symmetry-distinct sites (fractional):
Sm 0.000 0.206 0.239 [8 per cell]
Sm 0.204 0.500 0.180 [8 per cell]
Sm 0.222 0.315 0.500 [8 per cell]
Tl 0.000 0.000 0.000 [2 per cell]
Tl 0.000 0.000 0.500 [2 per cell]
Si 0.000 0.373 0.000 [4 per cell]
Si 0.000 0.500 0.386 [4 per cell]

=====

(6)
Here is a relaxed Sm5TlSi2 crystal from the Alexandria database. Energies are from GGA-PBE.

Results
energy relative to the elements, uncorrected: -0.541 eV per atom
VASP energy: -164.54 eV per cell
total moment: 0.0 μB/cell
volume: 27.649 Å³ per atom

Lattice parameters (Å, degrees): 7.812 7.812 14.497 90.00 90.00 90.00
Space group I4/mcm (No. 140)
Symmetry-distinct sites (fractional):
Sm 0.000 0.000 0.000 [4 per cell]
Sm 0.173 0.327 0.139 [16 per cell]
Tl 0.000 0.000 0.250 [4 per cell]
Si 0.121 0.379 0.500 [8 per cell]

=====

(7)
Here is a relaxed SmTlSi crystal from the Alexandria database. Energies are from GGA-PBE.

Results
energy relative to the elements, uncorrected: -0.476 eV per atom
VASP energy: -55.75 eV per cell
total moment: 0.0 μB/cell
volume: 25.200 Å³ per atom

Lattice parameters (Å, degrees): 4.190 18.757 3.847 90.00 90.00 90.00
Space group Cmcm (No. 63)
Symmetry-distinct sites (fractional):
Sm 0.000 0.088 0.250 [4 per cell]
Tl 0.000 0.293 0.250 [4 per cell]
Si 0.000 0.462 0.250 [4 per cell]

=====

(8)
Here is a relaxed Sm5Tl2Si crystal from the Alexandria database. Energies are from GGA-PBE.

Results
energy relative to the elements, uncorrected: -0.395 eV per atom
VASP energy: -73.82 eV per cell
total moment: 0.0 μB/cell
volume: 28.964 Å³ per atom

Lattice parameters (Å, degrees): 7.002 12.998 5.092 90.00 90.00 90.00
Space group Pbam (No. 55)
Symmetry-distinct sites (fractional):
Sm 0.000 0.000 0.000 [2 per cell]
Sm 0.133 0.284 0.000 [4 per cell]
Sm 0.172 0.585 0.500 [4 per cell]
Tl 0.108 0.841 0.500 [4 per cell]
Si 0.000 0.500 0.000 [2 per cell]

=====

Repeat the second record exactly.
Here is a relaxed Sm4TlSi crystal from the Alexandria database. Energies are from GGA-PBE.

Results
energy relative to the elements, uncorrected: -0.374 eV per atom
VASP energy: -57.82 eV per cell
total moment: 0.0 μB/cell
volume: 28.980 Å³ per atom

Lattice parameters (Å, degrees): 5.946 6.805 8.685 90.00 98.30 90.00
Space group P2_1/m (No. 11)
Symmetry-distinct sites (fractional):
Sm 0.147 0.011 0.253 [4 per cell]
Sm 0.335 0.250 0.643 [2 per cell]
Sm 0.351 0.750 0.950 [2 per cell]
Tl 0.269 0.750 0.579 [2 per cell]
Si 0.157 0.250 0.960 [2 per cell]

=====

Question: Which formula does entry 8 have?
Answer: Sm5Tl2Si